A relaxed NaTeCl2 crystal. Source: Alexandria via LeMat-Bulk, functional PBE-GGA.

a b c (Å): 7.5835 7.5835 7.5835
angles (deg): 90.00 90.00 90.00
Positions (direct):
Na  0.0000  0.0000  0.0000
Na  0.0000  0.5000  0.5000
Na  0.5000  0.0000  0.5000
Na  0.5000  0.5000  0.0000
Te  0.0000  0.0000  0.5000
Te  0.0000  0.5000  0.0000
Te  0.5000  0.0000  0.0000
Te  0.5000  0.5000  0.5000
Cl  0.2500  0.2500  0.2500
Cl  0.2500  0.2500  0.7500
Cl  0.2500  0.7500  0.2500
Cl  0.2500  0.7500  0.7500
Cl  0.7500  0.2500  0.2500
Cl  0.7500  0.2500  0.7500
Cl  0.7500  0.7500  0.2500
Cl  0.7500  0.7500  0.7500

energy relative to the elements, uncorrected	-165	kJ/mol of formula units
E	-0.0906	hartree per atom
space-group type	No. 225
total moment	2.85	μB per formula unit

A relaxed NaTeCl2 crystal. Source: Alexandria via LeMat-Bulk, functional PBE-GGA.

a b c (Å): 3.9288 3.9288 25.1354
angles (deg): 90.00 90.00 120.00
Positions (direct):
Na  0.0000  0.0000  0.0000
Na  0.3333  0.6667  0.6667
Na  0.6667  0.3333  0.3333
Te  0.0000  0.0000  0.5000
Te  0.3333  0.6667  0.1667
Te  0.6667  0.3333  0.8333
Cl  0.0000  0.0000  0.3963
Cl  0.0000  0.0000  0.6037
Cl  0.3333  0.6667  0.0630
Cl  0.3333  0.6667  0.2704
Cl  0.6667  0.3333  0.7296
Cl  0.6667  0.3333  0.9370

energy relative to the elements, uncorrected	-354	kJ/mol of formula units
E	-0.1086	hartree per atom
space-group type	No. 166
total moment	0.00	μB per formula unit

A relaxed Na2TeCl2 crystal. Source: Alexandria via LeMat-Bulk, functional PBE-GGA.

a b c (Å): 8.5291 8.5291 3.3877
angles (deg): 90.00 90.00 90.00
Positions (direct):
Na  0.1409  0.3591  0.0000
Na  0.3591  0.8591  0.0000
Na  0.6409  0.1409  0.0000
Na  0.8591  0.6409  0.0000
Te  0.0000  0.0000  0.0000
Te  0.5000  0.5000  0.0000
Cl  0.1466  0.6466  0.5000
Cl  0.3534  0.1466  0.5000
Cl  0.6466  0.8534  0.5000
Cl  0.8534  0.3534  0.5000

energy relative to the elements, uncorrected	-461	kJ/mol of formula units
E	-0.1048	hartree per atom
space-group type	No. 127
total moment	1.18	μB per formula unit